[1]
! Tb2CuTe3 (PBE, optimized geometry); values from VASP
! Symmetry ... Pnma (62)
! Calculated total energy ... -28.51 eV per formula unit
! V ... 659.2 Å³ per cell
&SYSTEM
  ibrav = 0, nat = 24, ntyp = 3
/
ATOMIC_SPECIES
Tb 158.93 Tb.upf
Cu 63.55 Cu.upf
Te 127.60 Te.upf
CELL_PARAMETERS angstrom
11.121 0.000 0.000
0.000 4.146 0.000
0.000 0.000 14.294
ATOMIC_POSITIONS angstrom
Tb 8.604 3.110 6.869
Tb 2.517 1.037 7.425
Tb 5.767 3.110 3.625
Tb 0.206 3.110 3.522
Tb 5.354 1.037 10.669
Tb 8.078 1.037 14.016
Tb 10.915 1.037 10.772
Tb 3.043 3.110 0.278
Cu 2.641 3.110 10.318
Cu 8.201 3.110 11.124
Cu 2.920 1.037 3.170
Cu 8.481 1.037 3.977
Te 10.581 1.037 5.668
Te 2.604 1.037 12.093
Te 6.101 3.110 12.815
Te 5.020 1.037 1.479
Te 6.552 1.037 5.758
Te 10.130 3.110 12.905
Te 2.957 3.110 4.946
Te 0.541 3.110 8.627
Te 0.991 1.037 1.389
Te 8.165 1.037 9.348
Te 8.517 3.110 2.201
Te 4.569 3.110 8.536

[2]
! ZrFeTcAs (PBE, optimized geometry); values from VASP
! Symmetry ... F-43m (216)
! V ... 59.4 Å³ per cell
! E above lowest polymorph ... 0 meV/atom
&SYSTEM
  ibrav = 0, nat = 4, ntyp = 4
/
ATOMIC_SPECIES
Tc 98.00 Tc.upf
As 74.92 As.upf
Zr 91.22 Zr.upf
Fe 55.84 Fe.upf
CELL_PARAMETERS angstrom
0.000 3.097 3.097
3.097 0.000 3.097
3.097 3.097 0.000
ATOMIC_POSITIONS angstrom
Tc 1.549 1.549 1.549
As 0.000 0.000 0.000
Zr 3.097 3.097 3.097
Fe 4.646 4.646 4.646

[3]
! LuTlFeSe3 (PBE, optimized geometry); values from VASP
! Symmetry ... Pnma (62)
! V ... 654.5 Å³ per cell
! E above lowest polymorph ... 0 meV/atom
&SYSTEM
  ibrav = 0, nat = 24, ntyp = 4
/
ATOMIC_SPECIES
Lu 174.97 Lu.upf
Tl 204.38 Tl.upf
Se 78.96 Se.upf
Fe 55.84 Fe.upf
CELL_PARAMETERS angstrom
-0.872 5.165 14.262
-3.329 -2.104 0.559
5.895 -8.421 3.410
ATOMIC_POSITIONS angstrom
Lu -0.492 -4.365 1.870
Lu -2.025 -0.216 8.367
Lu 3.718 -5.144 9.864
Lu 2.186 -0.995 16.361
Tl 2.043 -3.617 5.635
Tl -0.350 -1.743 12.596
Tl -2.552 -0.556 3.939
Tl 4.246 -4.803 14.292
Se -0.621 -2.628 7.646
Se 0.808 -5.920 3.758
Se 0.163 0.511 9.982
Se -0.743 0.927 6.147
Se 0.461 -1.874 2.771
Se 0.886 0.560 14.473
Se 2.436 -6.286 12.084
Se -2.587 2.141 13.892
Se 4.281 -7.500 4.339
Se 2.314 -2.732 10.585
Se 1.233 -3.486 15.460
Se 1.531 -5.871 8.249
Fe 1.187 -1.406 8.856
Fe -0.359 -1.158 0.579
Fe 0.507 -3.953 9.375
Fe 2.053 -4.202 17.652

[4]
! PrPtC2 (PBE, optimized geometry); values from VASP
! Symmetry ... Cc (9)
! Calculated total energy ... -30.06 eV per formula unit
! V ... 122.8 Å³ per cell
&SYSTEM
  ibrav = 0, nat = 8, ntyp = 3
/
ATOMIC_SPECIES
C 12.01 C.upf
Pr 140.91 Pr.upf
Pt 195.08 Pt.upf
CELL_PARAMETERS angstrom
2.358 -0.113 -3.207
-2.475 -2.615 -1.701
-3.966 6.658 -1.664
ATOMIC_POSITIONS angstrom
C -2.040 0.504 -1.820
C -2.166 1.307 -2.920
C -3.300 5.075 -4.016
C -2.247 4.752 -3.206
Pr -6.059 4.215 -3.481
Pr 0.015 3.003 -3.923
Pt -3.179 2.915 -3.770
Pt -0.471 -0.039 -3.164

[5]
! NiP (PBE, optimized geometry); values from VASP
! Symmetry ... Cmc2_1 (36)
! Calculated total energy ... -11.84 eV per formula unit
! V ... 349.0 Å³ per cell
&SYSTEM
  ibrav = 0, nat = 28, ntyp = 2
/
ATOMIC_SPECIES
Ni 58.69 Ni.upf
P 30.97 P.upf
CELL_PARAMETERS angstrom
0.000 0.000 -4.893
0.000 -5.962 0.000
-11.967 2.981 0.000
ATOMIC_POSITIONS angstrom
Ni -1.473 -2.649 -2.809
Ni -7.038 0.350 -0.594
Ni -4.929 -2.631 -0.594
Ni -4.929 -3.331 -3.040
Ni -8.406 -2.640 -2.883
Ni -3.561 0.341 -2.883
Ni -1.473 -3.313 -0.363
Ni 0.000 -0.318 -2.948
Ni -10.494 -0.332 -0.363
Ni -7.038 -0.350 -3.040
Ni -8.406 -3.322 -0.437
Ni 0.000 -5.643 -0.501
Ni -3.561 -0.341 -0.437
Ni -10.494 0.332 -2.809
P -10.318 -1.878 -1.980
P -8.499 1.149 -2.119
P -3.468 -1.832 -2.119
P -6.911 -4.132 -3.803
P -10.318 1.878 -4.427
P 0.000 -1.847 -1.277
P -1.649 -1.102 -4.427
P -8.499 -1.149 -4.565
P 0.000 -4.115 -3.723
P -5.056 -1.151 -3.803
P -5.056 1.151 -1.357
P -3.468 -4.130 -4.565
P -1.649 -4.859 -1.980
P -6.911 -1.830 -1.357

[6]
! KBi5Mo3 (PBE, optimized geometry); values from VASP
! Symmetry ... P6/mmm (191)
! Calculated total energy ... -52.27 eV per formula unit
! V ... 263.6 Å³ per cell
&SYSTEM
  ibrav = 0, nat = 9, ntyp = 3
/
ATOMIC_SPECIES
Bi 208.98 Bi.upf
K 39.10 K.upf
Mo 95.94 Mo.upf
CELL_PARAMETERS angstrom
5.723 0.000 0.000
-2.862 4.956 0.000
0.000 0.000 9.292
ATOMIC_POSITIONS angstrom
Bi 0.000 3.304 7.105
Bi 2.862 1.652 2.188
Bi 2.862 1.652 7.105
Bi 0.000 3.304 2.188
Bi 0.000 0.000 4.646
K 0.000 0.000 0.000
Mo 2.862 0.000 4.646
Mo -1.431 2.478 4.646
Mo 1.431 2.478 4.646

[7]
! Hf2TeAs2 (PBE, optimized geometry); values from VASP
! Symmetry ... I4/mmm (139)
! Calculated total energy ... -35.23 eV per formula unit
! V ... 111.2 Å³ per cell
&SYSTEM
  ibrav = 0, nat = 5, ntyp = 3
/
ATOMIC_SPECIES
As 74.92 As.upf
Hf 178.49 Hf.upf
Te 127.60 Te.upf
CELL_PARAMETERS angstrom
-2.446 2.446 4.645
2.446 -2.446 4.645
2.446 2.446 -4.645
ATOMIC_POSITIONS angstrom
As 0.000 0.000 3.384
As 0.000 0.000 5.906
Hf 2.446 0.000 2.322
Hf 0.000 2.446 2.322
Te 0.000 0.000 0.000

[8]
! HoTmGe (PBE, optimized geometry); values from VASP
! Symmetry ... Cmcm (63)
! Calculated total energy ... -14.47 eV per formula unit
! V ... 175.4 Å³ per cell
&SYSTEM
  ibrav = 0, nat = 6, ntyp = 3
/
ATOMIC_SPECIES
Ho 164.93 Ho.upf
Ge 72.64 Ge.upf
Tm 168.93 Tm.upf
CELL_PARAMETERS angstrom
1.933 -10.837 0.000
1.933 10.837 0.000
0.000 0.000 4.185
ATOMIC_POSITIONS angstrom
Ho 1.933 6.963 3.139
Ho 1.933 -6.963 1.046
Ge 1.933 -4.015 1.046
Ge 1.933 4.015 3.139
Tm 1.933 1.318 3.139
Tm 1.933 -1.318 1.046